# FeAsPO2

FeAsPO2 after structural relaxation (GGA+U, the Alexandria database).

Cell: 3.746 3.746 4.950 Å, 90.00 90.00 90.00°
Site moments in Bohr magnetons follow the coordinates.
Element x y z (fractional)
O (0.000, 0.500, 0.000)  0.04
O (0.500, 0.000, 0.000)  0.04
As (0.000, 0.000, 0.000)  0.00
Fe (0.500, 0.500, 0.500)  3.86
P (0.000, 0.000, 0.500)  0.03

Computed properties:
- offset from the most stable computed form (kcal/mol of atoms) = 0.000
- symmetry = P4/mmm (123)